Record 1
A plane-wave DFT calculation with PBE was carried out for Tb2ErIr3 after structural relaxation.

Results
Formation energy (kJ per mole of atoms): -44.1
Mass density (g/cm³): 13.5
Energy above the most stable polymorph in this dataset (eV per atom): 0.356
Calculated volume (Å³ per cell): 130.91

a b c (Å): 4.690 5.615 6.171
angles (deg): 117.06 112.33 90.00
Fractional coordinates of all 6 atoms:
Ir 0.000 0.000 0.000
Ir 0.657 0.657 0.314
Ir 0.343 0.343 0.686
Tb 0.331 0.831 0.663
Tb 0.669 0.169 0.337
Er 0.000 0.500 0.000

Record 2
A plane-wave DFT calculation with PBE was carried out for TbEr3Ir4 after structural relaxation.

Results
Formation energy (kJ per mole of atoms): -82.2
Mass density (g/cm³): 15.0
Calculated volume (Å³ per cell): 316.52

a b c (Å): 4.896 6.603 9.791
angles (deg): 90.00 90.00 90.00
Fractional coordinates of all 16 atoms:
Ir 0.000 0.752 0.250
Ir 0.500 0.248 0.500
Ir 0.500 0.752 0.500
Ir 0.000 0.248 0.750
Ir 0.000 0.752 0.750
Ir 0.500 0.248 0.000
Ir 0.500 0.752 0.000
Ir 0.000 0.248 0.250
Er 0.500 0.500 0.750
Er 0.000 0.000 0.000
Er 0.500 0.500 0.250
Er 0.500 0.000 0.750
Er 0.500 0.000 0.250
Er 0.000 0.000 0.500
Tb 0.000 0.500 0.000
Tb 0.000 0.500 0.500

Record 3
A plane-wave DFT calculation with PBE was carried out for Tb2ErIr3 after structural relaxation.

Results
Formation energy (kJ per mole of atoms): -78.4
Mass density (g/cm³): 14.6
Energy above the most stable polymorph in this dataset (eV per atom): 0.000
Calculated volume (Å³ per cell): 241.80

a b c (Å): 4.850 4.850 11.870
angles (deg): 90.00 90.00 120.00
Fractional coordinates of all 12 atoms:
Ir 0.000 0.000 0.748
Ir 0.333 0.667 0.417
Ir 0.667 0.333 0.583
Ir 0.000 0.000 0.252
Ir 0.667 0.333 0.085
Ir 0.333 0.667 0.915
Tb 0.667 0.333 0.832
Tb 0.000 0.000 0.000
Tb 0.333 0.667 0.168
Tb 0.000 0.000 0.500
Er 0.333 0.667 0.666
Er 0.667 0.333 0.334

| no. | DFT total energy (eV for the cell shown) |
| --- | --- |
| 1 | -43.15 |
| 2 | -121.16 |
| 3 | -90.57 |